A plane-wave DFT calculation with GGA-PBE was carried out for a relaxed structure of Zn3FeI.

Cell and atoms, written as POSCAR:
```
Zn3FeI
1.0
4.924 0.000 0.000
0.000 4.924 0.000
0.000 0.000 4.924
Zn I Fe
3 1 1
Cartesian
0.000 0.000 2.462
2.462 0.000 0.000
0.000 2.462 0.000
2.462 2.462 2.462
0.000 0.000 0.000
```

## Properties
Excess energy over the best structure of this formula in the dataset in meV/atom: 0
Formation energy from raw total energies in eV per atom: 0.4919
DOS at the Fermi energy in states/eV/cell: 4.81
DFT total energy in eV per atom: -2.2751
Crystal system: cubic
Magnetization in μB/atom: 0.577